No. 1
KLiCrIn2 | PBE-GGA | relaxed

```
data_KLiCrIn2
_symmetry_space_group_name_H-M 'P 4/m m m'
_symmetry_Int_Tables_number 123
_symmetry_space_group_name_Hall '-P 4 2'
_cell_length_a 5.305
_cell_length_b 5.305
_cell_length_c 5.934
_cell_angle_alpha 90.00
_cell_angle_beta 90.00
_cell_angle_gamma 90.00
loop_
_atom_site_label
_atom_site_type_symbol
_atom_site_fract_x
_atom_site_fract_y
_atom_site_fract_z
K1 K 0.000 0.000 0.000
Li1 Li 0.500 0.500 0.000
Cr1 Cr 0.000 0.000 0.500
In1 In 0.000 0.500 0.500
```

As for the total magnetization: 3.4 μB per formula unit. Its total DFT energy (no corrections) is -0.231 Ry per atom. Its calculated formation energy is 0.48 eV per atom.

No. 2
PuTlCoS3 | PBE-GGA | relaxed

```
data_PuTlCoS3
_symmetry_space_group_name_H-M 'P 1 21/m 1'
_symmetry_Int_Tables_number 11
_cell_length_a 8.893
_cell_length_b 3.897
_cell_length_c 9.026
_cell_angle_alpha 90.00
_cell_angle_beta 108.05
_cell_angle_gamma 90.00
loop_
_symmetry_equiv_pos_as_xyz
'x,y,z'
'-x,-y,-z'
'-x,y+1/2,-z'
'x,-y+1/2,z'
loop_
_atom_site_label
_atom_site_type_symbol
_atom_site_fract_x
_atom_site_fract_y
_atom_site_fract_z
Pu1 Pu 0.176 0.250 0.160
Tl1 Tl 0.306 0.750 0.779
Co1 Co 0.420 0.750 0.417
S1 S 0.039 0.250 0.843
S2 S 0.322 0.250 0.473
S3 S 0.380 0.750 0.154
```

As for the total magnetization: 3.1 μB per formula unit. Its total DFT energy (no corrections) is -0.511 Ry per atom. The energy relative to the elements, uncorrected comes out at -915 meV/atom.

No. 3
SrSeO4 | PBE-GGA | relaxed

```
data_SrSeO4
_symmetry_space_group_name_H-M 'P 1 21/c 1'
_symmetry_Int_Tables_number 14
_cell_length_a 6.976
_cell_length_b 7.479
_cell_length_c 8.777
_cell_angle_alpha 90.00
_cell_angle_beta 126.73
_cell_angle_gamma 90.00
loop_
_symmetry_equiv_pos_as_xyz
'x,y,z'
'-x,-y,-z'
'-x,y+1/2,-z+1/2'
'x,-y+1/2,z+1/2'
loop_
_atom_site_label
_atom_site_type_symbol
_atom_site_fract_x
_atom_site_fract_y
_atom_site_fract_z
Sr1 Sr 0.185 0.155 0.281
Se1 Se 0.306 0.663 0.194
O1 O 0.114 0.664 0.613
O2 O 0.186 0.504 0.247
O3 O 0.332 0.605 0.022
O4 O 0.414 0.213 0.123
```

As for the total magnetization: 0.0 μB per formula unit. Its total DFT energy (no corrections) is -0.430 Ry per atom. The energy relative to the elements, uncorrected comes out at -1684 meV/atom.

No. 4
Ce3Pa5 | PBE-GGA | relaxed

```
data_Ce3Pa5
_symmetry_space_group_name_H-M 'P 4/m m m'
_symmetry_Int_Tables_number 123
_symmetry_space_group_name_Hall '-P 4 2'
_cell_length_a 3.275
_cell_length_b 3.275
_cell_length_c 18.996
_cell_angle_alpha 90.00
_cell_angle_beta 90.00
_cell_angle_gamma 90.00
loop_
_atom_site_label
_atom_site_type_symbol
_atom_site_fract_x
_atom_site_fract_y
_atom_site_fract_z
Ce1 Ce 0.000 0.000 0.000
Ce2 Ce 0.500 0.500 0.127
Pa1 Pa 0.000 0.000 0.252
Pa2 Pa 0.000 0.000 0.500
Pa3 Pa 0.500 0.500 0.376
```

As for the total magnetization: 0.0 μB per formula unit. Its total DFT energy (no corrections) is -0.599 Ry per atom. As for the energy above the most stable polymorph in this dataset: 0 meV/atom. Its calculated formation energy is 0.01 eV per atom.

No. 5
Ca2CoSi | PBE-GGA | relaxed

```
data_Ca2CoSi
_symmetry_space_group_name_H-M 'P 4 m m'
_symmetry_Int_Tables_number 99
_cell_length_a 3.213
_cell_length_b 3.213
_cell_length_c 8.420
_cell_angle_alpha 90.00
_cell_angle_beta 90.00
_cell_angle_gamma 90.00
loop_
_symmetry_equiv_pos_as_xyz
'x,y,z'
'-y,x,z'
'-x,-y,z'
'y,-x,z'
'-x,y,z'
'y,x,z'
'x,-y,z'
'-y,-x,z'
loop_
_atom_site_label
_atom_site_type_symbol
_atom_site_fract_x
_atom_site_fract_y
_atom_site_fract_z
Ca1 Ca 0.000 0.000 0.000
Ca2 Ca 0.500 0.500 0.398
Co1 Co 0.000 0.000 0.647
Si1 Si 0.500 0.500 0.751
```

As for the total magnetization: 0.6 μB per formula unit. Its total DFT energy (no corrections) is -0.311 Ry per atom. The energy relative to the elements, uncorrected comes out at -101 meV/atom.

No. 6
AcSmCdHg | PBE-GGA | relaxed

```
data_AcSmCdHg
_symmetry_space_group_name_H-M 'P 4 m m'
_symmetry_Int_Tables_number 99
_cell_length_a 3.909
_cell_length_b 3.909
_cell_length_c 7.953
_cell_angle_alpha 90.00
_cell_angle_beta 90.00
_cell_angle_gamma 90.00
loop_
_symmetry_equiv_pos_as_xyz
'x,y,z'
'-y,x,z'
'-x,-y,z'
'y,-x,z'
'-x,y,z'
'y,x,z'
'x,-y,z'
'-y,-x,z'
loop_
_atom_site_label
_atom_site_type_symbol
_atom_site_fract_x
_atom_site_fract_y
_atom_site_fract_z
Ac1 Ac 0.000 0.000 0.000
Sm1 Sm 0.000 0.000 0.495
Cd1 Cd 0.500 0.500 0.722
Hg1 Hg 0.500 0.500 0.279
```

As for the total magnetization: 0.5 μB per formula unit. Its total DFT energy (no corrections) is -0.212 Ry per atom. As for the energy above the most stable polymorph in this dataset: 0 meV/atom. Its calculated formation energy is -0.38 eV per atom.

No. 7
KLa3Ti | PBE-GGA | relaxed

```
data_KLa3Ti
_symmetry_space_group_name_H-M 'P m -3 m'
_symmetry_Int_Tables_number 221
_symmetry_space_group_name_Hall '-P 4 2 3'
_cell_length_a 5.831
_cell_length_b 5.831
_cell_length_c 5.831
_cell_angle_alpha 90.00
_cell_angle_beta 90.00
_cell_angle_gamma 90.00
loop_
_atom_site_label
_atom_site_type_symbol
_atom_site_fract_x
_atom_site_fract_y
_atom_site_fract_z
K1 K 0.000 0.000 0.000
La1 La 0.000 0.500 0.500
Ti1 Ti 0.500 0.500 0.500
```

As for the total magnetization: 0.0 μB per formula unit. Its total DFT energy (no corrections) is -0.316 Ry per atom. As for the energy above the most stable polymorph in this dataset: 0 meV/atom. Its calculated formation energy is 0.46 eV per atom.

No. 8
MgSeN2F | PBE-GGA | relaxed

```
data_MgSeN2F
_symmetry_space_group_name_H-M 'P 4/m m m'
_symmetry_Int_Tables_number 123
_symmetry_space_group_name_Hall '-P 4 2'
_cell_length_a 4.133
_cell_length_b 4.133
_cell_length_c 4.098
_cell_angle_alpha 90.00
_cell_angle_beta 90.00
_cell_angle_gamma 90.00
loop_
_atom_site_label
_atom_site_type_symbol
_atom_site_fract_x
_atom_site_fract_y
_atom_site_fract_z
Mg1 Mg 0.000 0.000 0.000
Se1 Se 0.500 0.500 0.000
N1 N 0.000 0.500 0.500
F1 F 0.500 0.500 0.500
```

As for the total magnetization: 2.1 μB per formula unit. Its total DFT energy (no corrections) is -0.232 Ry per atom. The energy relative to the elements, uncorrected comes out at 1568 meV/atom. As for the energy above the most stable polymorph in this dataset: 1116 meV/atom.

No. 9
TePb3 | PBE-GGA | relaxed

```
data_TePb3
_symmetry_space_group_name_H-M 'P m m 2'
_symmetry_Int_Tables_number 25
_cell_length_a 4.018
_cell_length_b 5.580
_cell_length_c 5.604
_cell_angle_alpha 90.00
_cell_angle_beta 90.00
_cell_angle_gamma 90.00
loop_
_symmetry_equiv_pos_as_xyz
'x,y,z'
'-x,-y,z'
'-x,y,z'
'x,-y,z'
loop_
_atom_site_label
_atom_site_type_symbol
_atom_site_fract_x
_atom_site_fract_y
_atom_site_fract_z
Te1 Te 0.000 0.000 0.000
Pb1 Pb 0.000 0.500 0.540
Pb2 Pb 0.500 0.000 0.493
Pb3 Pb 0.500 0.500 0.029
```

As for the total magnetization: 0.0 μB per formula unit. Its total DFT energy (no corrections) is -0.266 Ry per atom. The energy relative to the elements, uncorrected comes out at -53 meV/atom. As for the energy above the most stable polymorph in this dataset: 12 meV/atom.

No. 10
SrAcSbBr | PBE-GGA | relaxed

```
data_SrAcSbBr
_symmetry_space_group_name_H-M 'R -3 m'
_symmetry_Int_Tables_number 166
_symmetry_space_group_name_Hall '-R 3 2"'
_cell_length_a 5.1823
_cell_length_b 5.1823
_cell_length_c 39.9957
_cell_angle_alpha 90.00
_cell_angle_beta 90.00
_cell_angle_gamma 120.00
loop_
_atom_site_label
_atom_site_type_symbol
_atom_site_fract_x
_atom_site_fract_y
_atom_site_fract_z
Sr1 Sr 0.0000 0.0000 0.1119
Ac1 Ac 0.0000 0.0000 0.3023
Sb1 Sb 0.0000 0.0000 0.3971
Br1 Br 0.0000 0.0000 0.1946
```

As for the total magnetization: 0.0 μB per formula unit. Its total DFT energy (no corrections) is -0.306 Ry per atom. The energy relative to the elements, uncorrected comes out at -1265 meV/atom. As for the energy above the most stable polymorph in this dataset: 0 meV/atom.

No. 11
TiBeSi3 | PBE-GGA | relaxed

```
data_TiBeSi3
_symmetry_space_group_name_H-M 'P m -3 m'
_symmetry_Int_Tables_number 221
_symmetry_space_group_name_Hall '-P 4 2 3'
_cell_length_a 4.757
_cell_length_b 4.757
_cell_length_c 4.757
_cell_angle_alpha 90.00
_cell_angle_beta 90.00
_cell_angle_gamma 90.00
loop_
_atom_site_label
_atom_site_type_symbol
_atom_site_fract_x
_atom_site_fract_y
_atom_site_fract_z
Ti1 Ti 0.000 0.000 0.000
Be1 Be 0.500 0.500 0.500
Si1 Si 0.000 0.000 0.500
```

As for the total magnetization: 0.0 μB per formula unit. Its total DFT energy (no corrections) is -0.333 Ry per atom. The energy relative to the elements, uncorrected comes out at 1053 meV/atom. As for the energy above the most stable polymorph in this dataset: 394 meV/atom.

No. 12
Pr4AsPBr2 | PBE-GGA | relaxed

```
data_Pr4AsPBr2
_symmetry_space_group_name_H-M 'P 1 2/m 1'
_symmetry_Int_Tables_number 10
_cell_length_a 7.410
_cell_length_b 4.245
_cell_length_c 7.736
_cell_angle_alpha 90.00
_cell_angle_beta 108.61
_cell_angle_gamma 90.00
loop_
_symmetry_equiv_pos_as_xyz
'x,y,z'
'-x,-y,-z'
'-x,y,-z'
'x,-y,z'
loop_
_atom_site_label
_atom_site_type_symbol
_atom_site_fract_x
_atom_site_fract_y
_atom_site_fract_z
Pr1 Pr 0.224 0.000 0.204
Pr2 Pr 0.252 0.500 0.794
As1 As 0.500 0.000 0.000
P1 P 0.000 0.500 0.000
Br1 Br 0.000 0.000 0.500
Br2 Br 0.500 0.500 0.500
```

As for the total magnetization: 0.0 μB per formula unit. Its total DFT energy (no corrections) is -0.407 Ry per atom. The energy relative to the elements, uncorrected comes out at -1472 meV/atom.